# 1
{
  "formula": "DyY5Al3",
  "functional": "PBE",
  "state": "optimized geometry",
  "cell": [[6.653, 0.000, 0.000], [0.000, 9.105, 0.000], [0.000, -4.552, 7.885]],
  "species": ["Dy", "Dy", "Y", "Y", "Y", "Y", "Y", "Y", "Y", "Y", "Y", "Y", "Al", "Al", "Al", "Al", "Al", "Al"],
  "fractional_positions": [[0.000, 0.000, 0.000], [0.500, 0.000, 0.000], [0.000, 0.667, 0.333], [0.500, 0.333, 0.667], [0.000, 0.333, 0.667], [0.500, 0.667, 0.333], [0.750, 0.668, 0.668], [0.750, 0.000, 0.332], [0.750, 0.332, 0.000], [0.250, 0.332, 0.332], [0.250, 0.000, 0.668], [0.250, 0.668, 0.000], [0.750, 0.335, 0.335], [0.750, 0.000, 0.665], [0.750, 0.665, 0.000], [0.250, 0.665, 0.665], [0.250, 0.000, 0.335], [0.250, 0.335, 0.000]],
  "dft_energy_ev_per_cell": -101.5
}

***

# 2
{
  "formula": "Dy15Y4Al",
  "functional": "PBE",
  "state": "optimized geometry",
  "cell": [[4.949, 0.000, 0.000], [0.000, 4.949, 0.000], [0.000, 0.000, 25.068]],
  "species": ["Dy", "Dy", "Dy", "Dy", "Dy", "Dy", "Dy", "Dy", "Dy", "Dy", "Dy", "Dy", "Dy", "Dy", "Dy", "Y", "Y", "Y", "Y", "Al"],
  "fractional_positions": [[0.500, 0.500, 0.000], [0.500, 0.500, 0.194], [0.500, 0.500, 0.398], [0.500, 0.500, 0.602], [0.500, 0.500, 0.806], [0.500, 0.000, 0.093], [0.500, 0.000, 0.297], [0.500, 0.000, 0.500], [0.500, 0.000, 0.703], [0.500, 0.000, 0.907], [0.000, 0.500, 0.093], [0.000, 0.500, 0.297], [0.000, 0.500, 0.500], [0.000, 0.500, 0.703], [0.000, 0.500, 0.907], [0.000, 0.000, 0.196], [0.000, 0.000, 0.398], [0.000, 0.000, 0.602], [0.000, 0.000, 0.804], [0.000, 0.000, 0.000]],
  "dft_energy_ev_per_cell": -98.8
}

***

# 3
{
  "formula": "Dy9Y4Al11",
  "functional": "PBE",
  "state": "optimized geometry",
  "cell": [[3.363, 0.000, 0.000], [0.000, 12.581, -5.085], [0.000, 0.268, 13.567]],
  "species": ["Dy", "Dy", "Dy", "Dy", "Dy", "Dy", "Dy", "Dy", "Dy", "Y", "Y", "Y", "Y", "Al", "Al", "Al", "Al", "Al", "Al", "Al", "Al", "Al", "Al", "Al"],
  "fractional_positions": [[0.500, 0.613, 0.163], [0.500, 0.387, 0.837], [0.500, 0.163, 0.613], [0.500, 0.837, 0.387], [0.500, 0.797, 0.989], [0.500, 0.203, 0.011], [0.500, 0.989, 0.797], [0.500, 0.011, 0.203], [0.500, 0.500, 0.500], [0.500, 0.593, 0.759], [0.500, 0.407, 0.241], [0.500, 0.759, 0.593], [0.500, 0.241, 0.407], [0.000, 0.588, 0.960], [0.000, 0.412, 0.040], [0.000, 0.960, 0.588], [0.000, 0.040, 0.412], [0.000, 0.621, 0.379], [0.000, 0.379, 0.621], [0.000, 0.812, 0.188], [0.000, 0.188, 0.812], [0.000, 0.000, 0.000], [0.000, 0.800, 0.800], [0.000, 0.200, 0.200]],
  "dft_energy_ev_per_cell": -116.4
}

***

# 4
{
  "formula": "DyY2Al6",
  "functional": "PBE",
  "state": "optimized geometry",
  "cell": [[-1.600, -2.319, 2.061], [3.338, -5.906, -4.055], [3.683, 3.050, 6.292]],
  "species": ["Dy", "Y", "Y", "Al", "Al", "Al", "Al", "Al", "Al"],
  "fractional_positions": [[0.000, 0.000, 0.000], [0.000, 0.333, 0.667], [0.000, 0.667, 0.333], [0.500, 0.333, 0.333], [0.500, 0.667, 0.667], [0.500, 0.000, 0.667], [0.500, 0.667, 0.000], [0.500, 0.333, 0.000], [0.500, 0.000, 0.333]],
  "dft_energy_ev_per_cell": -44.5
}

***

# 5
{
  "formula": "Dy2YAl",
  "functional": "PBE",
  "state": "optimized geometry",
  "cell": [[4.784, 0.000, 0.000], [0.000, 4.758, 0.000], [0.000, 0.000, 4.758]],
  "species": ["Y", "Al", "Dy", "Dy"],
  "fractional_positions": [[0.500, 0.000, 0.000], [0.500, 0.500, 0.500], [0.000, 0.000, 0.500], [0.000, 0.500, 0.000]],
  "dft_energy_ev_per_cell": -20.2,
  "relative_energy_ev_per_fu": 0.05
}

***

# 6
{
  "formula": "Dy12Y5Al3",
  "functional": "PBE",
  "state": "optimized geometry",
  "cell": [[-0.333, 4.187, 15.191], [12.225, -9.620, -2.531], [1.501, 12.874, -8.966]],
  "species": ["Al", "Al", "Al", "Al", "Al", "Al", "Al", "Al", "Al", "Al", "Al", "Al", "Y", "Y", "Y", "Y", "Y", "Y", "Y", "Y", "Y", "Y", "Y", "Y", "Y", "Y", "Y", "Y", "Y", "Y", "Y", "Y", "Dy", "Dy", "Dy", "Dy", "Dy", "Dy", "Dy", "Dy", "Dy", "Dy", "Dy", "Dy", "Dy", "Dy", "Dy", "Dy", "Dy", "Dy", "Dy", "Dy", "Dy", "Dy", "Dy", "Dy", "Dy", "Dy", "Dy", "Dy", "Dy", "Dy", "Dy", "Dy", "Dy", "Dy", "Dy", "Dy", "Dy", "Dy", "Dy", "Dy", "Dy", "Dy", "Dy", "Dy", "Dy", "Dy", "Dy", "Dy"],
  "fractional_positions": [[0.750, 0.375, 0.125], [0.875, 0.750, 0.125], [0.375, 0.750, 0.625], [0.250, 0.125, 0.375], [0.875, 0.125, 0.250], [0.375, 0.625, 0.250], [0.625, 0.375, 0.750], [0.125, 0.875, 0.750], [0.750, 0.875, 0.625], [0.625, 0.250, 0.375], [0.125, 0.250, 0.875], [0.250, 0.625, 0.875], [0.125, 0.375, 0.250], [0.000, 0.500, 0.000], [0.000, 0.000, 0.000], [0.375, 0.250, 0.125], [0.500, 0.000, 0.500], [0.500, 0.500, 0.000], [0.125, 0.750, 0.375], [0.750, 0.125, 0.875], [0.750, 0.625, 0.375], [0.375, 0.125, 0.750], [0.625, 0.875, 0.250], [0.500, 0.500, 0.500], [0.500, 0.000, 0.000], [0.000, 0.000, 0.500], [0.250, 0.375, 0.625], [0.250, 0.875, 0.125], [0.000, 0.500, 0.500], [0.875, 0.250, 0.625], [0.625, 0.750, 0.875], [0.875, 0.625, 0.750], [0.734, 0.148, 0.081], [0.347, 0.581, 0.433], [0.919, 0.352, 0.266], [0.581, 0.234, 0.148], [0.586, 0.734, 0.653], [0.919, 0.567, 0.153], [0.347, 0.766, 0.414], [0.067, 0.914, 0.148], [0.567, 0.919, 0.653], [0.734, 0.586, 0.153], [0.766, 0.419, 0.352], [0.847, 0.933, 0.081], [0.148, 0.734, 0.581], [0.352, 0.433, 0.086], [0.086, 0.933, 0.352], [0.414, 0.148, 0.567], [0.086, 0.153, 0.234], [0.419, 0.653, 0.067], [0.847, 0.914, 0.266], [0.148, 0.414, 0.067], [0.352, 0.919, 0.766], [0.567, 0.648, 0.414], [0.933, 0.847, 0.581], [0.766, 0.347, 0.914], [0.433, 0.352, 0.586], [0.067, 0.153, 0.419], [0.234, 0.653, 0.086], [0.153, 0.086, 0.734], [0.648, 0.081, 0.234], [0.852, 0.586, 0.933], [0.581, 0.347, 0.933], [0.586, 0.852, 0.433], [0.914, 0.847, 0.766], [0.914, 0.067, 0.648], [0.852, 0.266, 0.419], [0.153, 0.067, 0.919], [0.648, 0.567, 0.914], [0.433, 0.081, 0.347], [0.266, 0.414, 0.847], [0.234, 0.581, 0.648], [0.933, 0.086, 0.852], [0.653, 0.234, 0.586], [0.419, 0.766, 0.852], [0.081, 0.433, 0.847], [0.414, 0.266, 0.347], [0.081, 0.648, 0.734], [0.653, 0.419, 0.567], [0.266, 0.852, 0.919]],
  "dft_energy_ev_per_cell": -326.2
}

***

# 7
{
  "formula": "DyY2Al3",
  "functional": "PBE",
  "state": "optimized geometry",
  "cell": [[-3.161, 0.461, 1.643], [0.365, -3.197, 1.598], [5.047, 4.761, 8.372]],
  "species": ["Dy", "Y", "Y", "Al", "Al", "Al"],
  "fractional_positions": [[0.500, 0.500, 0.500], [0.500, 0.500, 0.833], [0.500, 0.500, 0.167], [0.000, 0.000, 0.000], [0.000, 0.000, 0.666], [0.000, 0.000, 0.334]],
  "dft_energy_ev_per_cell": -31.2
}

***

# 8
{
  "formula": "DyY4Al4",
  "functional": "PBE",
  "state": "optimized geometry",
  "cell": [[-2.059, 2.315, 4.911], [-7.586, 1.936, -4.094], [-3.269, -7.867, 2.338]],
  "species": ["Dy", "Dy", "Y", "Y", "Y", "Y", "Y", "Y", "Y", "Y", "Al", "Al", "Al", "Al", "Al", "Al", "Al", "Al"],
  "fractional_positions": [[0.000, 0.000, 0.000], [0.500, 0.500, 0.500], [0.385, 0.426, 0.833], [0.885, 0.667, 0.926], [0.385, 0.574, 0.167], [0.115, 0.074, 0.667], [0.615, 0.833, 0.574], [0.115, 0.926, 0.333], [0.885, 0.333, 0.074], [0.615, 0.167, 0.426], [0.598, 0.906, 0.195], [0.598, 0.094, 0.805], [0.098, 0.695, 0.594], [0.902, 0.406, 0.695], [0.902, 0.594, 0.305], [0.402, 0.195, 0.094], [0.402, 0.805, 0.906], [0.098, 0.305, 0.406]],
  "dft_energy_ev_per_cell": -94.0
}